Record 1
Compound: La3Pr3TlIn2
Source: Alexandria
Functional: PBE
Structure: optimized geometry

As for the formation energy: -0.313 eV per atom. The density of states at the Fermi level is 8.73 states/eV/cell.

The space group is P-62m (No. 189) and the conventional cell measures 9.3768, 9.3768 and 3.8745 Å, with angles of 90.00, 90.00 and 120.00 degrees. The inequivalent atoms are La at (0.0000, 0.7147, 0.0000), Pr at (0.0000, 0.3903, 0.5000), Tl at (0.0000, 0.0000, 0.5000) and In at (0.3333, 0.6667, 0.0000).

=====

Record 2
Compound: LaPr5Tl2In
Source: Alexandria
Functional: PBE
Structure: optimized geometry

As for the formation energy: -0.146 eV per atom. The density of states at the Fermi level is 43.15 states/eV/cell.

The space group is I4/mcm (No. 140) and the conventional cell measures 8.1950, 8.1950 and 18.3114 Å, with angles of 90.00, 90.00 and 90.00 degrees. The inequivalent atoms are La at (0.0000, 0.0000, 0.2500), Pr at (0.0000, 0.0000, 0.0000), Pr at (0.1944, 0.3056, 0.1301), Tl at (0.1219, 0.3781, 0.5000) and In at (0.0000, 0.5000, 0.2500).

=====

Record 3
Compound: La2PrTmIn2
Source: Alexandria
Functional: PBE
Structure: optimized geometry

As for the formation energy: -0.351 eV per atom. The density of states at the Fermi level is 13.55 states/eV/cell.

The space group is Pmc2_1 (No. 26) and the conventional cell measures 5.2410, 10.2934 and 6.9536 Å, with angles of 90.00, 90.00 and 90.00 degrees. The inequivalent atoms are La at (0.0000, 0.0567, 0.0000), La at (0.5000, 0.1788, 0.2435), Pr at (0.5000, 0.4567, 0.8845), Tm at (0.0000, 0.3090, 0.6032), In at (0.0000, 0.3809, 0.1513) and In at (0.5000, 0.1485, 0.7214).